KCr2ReF: optimized geometry, PBE+U.

Calculated values
The total magnetization comes out at 7.198 μB/f.u. The value obtained for the energy above the most stable polymorph in this dataset is 0.00 eV per formula unit.

```
data_KCr2ReF
_cell_length_a 5.232
_cell_length_b 4.293
_cell_length_c 5.232
_cell_angle_alpha 90.00
_cell_angle_beta 90.00
_cell_angle_gamma 90.00
_symmetry_space_group_name_H-M 'P 1'
_symmetry_Int_Tables_number 1
loop_
_symmetry_equiv_pos_as_xyz
'x,y,z'
loop_
_atom_site_label
_atom_site_fract_x
_atom_site_fract_y
_atom_site_fract_z
Re1 0.000 0.000 0.000
K1 0.500 0.500 0.500
F1 0.000 0.500 0.000
Cr1 0.000 0.000 0.500
Cr2 0.500 0.000 0.000
```